No. 1
DFT (PBE-GGA) results for Fe2SbBr after structural relaxation.

Cell: 3.3163 3.3163 8.1332 Å, 90.00 90.00 119.42°
With the nearest neighbours (Å) after each atom.
Sites, in units of the cell vectors:
Br1 0.5000 0.5000 0.7500  4 Fe 2.62
Fe1 0.0000 0.0000 0.9981  2 Br 2.62, 2 Sb 2.65
Fe2 0.0000 0.0000 0.5019  2 Br 2.62, 2 Sb 2.65
Sb1 0.5000 0.5000 0.2500  4 Fe 2.65

DOS(E_F) ... 4.927 states/eV per cell
Raw total energy ... -0.1876 Ha/atom
Energy above the most stable polymorph in this dataset ... 0.5079 eV/atom
Size of the total moment ... 5.716 μB per formula unit
Raw formation energy ... 574 meV per atom

=====

No. 2
DFT (PBE-GGA) results for La4NdY2 after structural relaxation.

Cell: 12.8116 12.8116 6.9479 Å, 96.98 96.98 150.25°
With the nearest neighbours (Å) after each atom.
Sites, in units of the cell vectors:
La1 0.7190 0.1847 0.8743  6 La 3.45-3.82, 2 Nd 3.61-3.79, 2 Y 3.64-3.69
La2 0.1847 0.7190 0.3743  6 La 3.45-3.82, 2 Nd 3.61-3.79, 2 Y 3.64-3.69
La3 0.1864 0.7903 0.9108  5 La 3.45-3.82, 4 Y 3.55-3.72, 1 Nd 3.70
La4 0.7903 0.1864 0.4108  5 La 3.45-3.82, 4 Y 3.55-3.72, 1 Nd 3.70
La5 0.0258 0.1296 0.5895  5 La 3.45-3.82, 4 Y 3.55-3.71, 1 Nd 3.70
La6 0.5604 0.5950 0.1262  6 La 3.45-3.82, 2 Nd 3.61-3.79, 2 Y 3.64-3.69
La7 0.5950 0.5604 0.6262  6 La 3.45-3.82, 2 Nd 3.61-3.79, 2 Y 3.64-3.69
La8 0.1296 0.0258 0.0895  5 La 3.45-3.82, 4 Y 3.55-3.71, 1 Nd 3.70
Nd1 0.4245 0.6744 0.5003  4 Y 3.51-3.69, 8 La 3.61-3.89
Nd2 0.6744 0.4245 0.0003  4 Y 3.51-3.69, 8 La 3.61-3.89
Y1 0.6250 0.3101 0.4498  2 Nd 3.51-3.69, 6 La 3.55-3.72, 2 Y 3.71
Y2 0.9254 0.1106 0.0506  2 Nd 3.51-3.69, 6 La 3.55-3.71, 2 Y 3.71
Y3 0.1106 0.9254 0.5506  2 Nd 3.51-3.69, 6 La 3.55-3.71, 2 Y 3.71
Y4 0.3101 0.6250 0.9498  2 Nd 3.51-3.69, 6 La 3.55-3.72, 2 Y 3.71

DOS(E_F) ... 25.463 states/eV per cell
Raw total energy ... -0.1939 Ha/atom
Energy above the most stable polymorph in this dataset ... 0.0000 eV/atom
Energy relative to the elements ... 0.07 eV/atom
Size of the total moment ... 0.000 μB per formula unit

=====

No. 3
DFT (PBE-GGA) results for PmGe2Au after structural relaxation.

Cell: 4.2004 4.4754 4.4754 Å, 90.00 90.00 90.00°
With the nearest neighbours (Å) after each atom.
Sites, in units of the cell vectors:
Ge1 0.0000 0.0000 0.5000  4 Pm 3.07, 4 Au 3.07, 4 Ge 3.16
Ge2 0.0000 0.5000 0.0000  4 Pm 3.07, 4 Au 3.07, 4 Ge 3.16
Au1 0.5000 0.5000 0.5000  8 Ge 3.07, 4 Pm 3.16
Pm1 0.5000 0.0000 0.0000  8 Ge 3.07, 4 Au 3.16

DOS(E_F) ... 1.533 states/eV per cell
Raw total energy ... -0.1768 Ha/atom
Energy above the most stable polymorph in this dataset ... 0.0750 eV/atom
Energy relative to the elements ... -0.50 eV/atom
Size of the total moment ... 0.000 μB per formula unit

=====

No. 4
DFT (PBE-GGA) results for TbBiF6 after structural relaxation.

Cell: 6.2768 6.2760 6.3411 Å, 60.33 60.32 59.99°
With the nearest neighbours (Å) after each atom.
Sites, in units of the cell vectors:
Tb1 0.5000 0.5000 0.5000  6 F 2.20
Bi1 0.0000 0.0000 0.0000  6 F 2.28
F1 0.2168 0.2917 0.7455  1 Tb 2.20, 1 Bi 2.28
F2 0.7460 0.2169 0.7455  1 Tb 2.20, 1 Bi 2.28
F3 0.7083 0.2540 0.2546  1 Tb 2.20, 1 Bi 2.28
F4 0.2540 0.7831 0.2545  1 Tb 2.20, 1 Bi 2.28
F5 0.7832 0.7083 0.2545  1 Tb 2.20, 1 Bi 2.28
F6 0.2917 0.7460 0.7454  1 Tb 2.20, 1 Bi 2.28

DOS(E_F) ... 0.000 states/eV per cell
Raw total energy ... -0.2112 Ha/atom
Size of the total moment ... 0.000 μB per formula unit
Raw formation energy ... -3278 meV per atom

=====

No. 5
DFT (PBE-GGA) results for PmTh2ScAs4 after structural relaxation.

Cell: 4.1887 7.1711 7.2477 Å, 70.23 90.00 90.00°
With the nearest neighbours (Å) after each atom.
Sites, in units of the cell vectors:
Pm1 0.0000 0.5000 0.5000  6 As 2.94-2.95
Th1 0.0000 0.0000 0.0000  6 As 2.95
Th2 0.5000 0.0000 0.5000  6 As 3.03
Sc1 0.5000 0.5000 0.0000  6 As 2.87
As1 0.0000 0.7357 0.7636  2 Sc 2.87, 1 Pm 2.95, 3 Th 2.95-3.03
As2 0.0000 0.2643 0.2364  2 Sc 2.87, 1 Pm 2.95, 3 Th 2.95-3.03
As3 0.5000 0.7424 0.2438  1 Sc 2.87, 2 Pm 2.94, 3 Th 2.95-3.03
As4 0.5000 0.2576 0.7562  1 Sc 2.87, 2 Pm 2.94, 3 Th 2.95-3.03

DOS(E_F) ... 4.093 states/eV per cell
Raw total energy ... -0.2559 Ha/atom
Energy relative to the elements ... -1.40 eV/atom
Size of the total moment ... 0.000 μB per formula unit

=====

No. 6
DFT (PBE-GGA) results for Ti4GaIr2 after structural relaxation.

Cell: 4.1429 4.1429 8.9627 Å, 76.64 76.64 60.00°
With the nearest neighbours (Å) after each atom.
Sites, in units of the cell vectors:
Ti1 0.3865 0.3865 0.8406  3 Ir 2.67, 3 Ga 2.76
Ti2 0.2009 0.2009 0.3974  4 Ir 2.55-2.65
Ti3 0.7991 0.7991 0.6026  4 Ir 2.55-2.65
Ti4 0.6135 0.6135 0.1594  3 Ir 2.67, 3 Ga 2.76
Ga1 0.0000 0.0000 0.0000  2 Ir 2.55, 6 Ti 2.76
Ir1 0.0986 0.0986 0.7042  7 Ti 2.55-2.67, 1 Ga 2.55
Ir2 0.9014 0.9014 0.2958  7 Ti 2.55-2.67, 1 Ga 2.55

DOS(E_F) ... 7.351 states/eV per cell
Raw total energy ... -0.2887 Ha/atom
Energy above the most stable polymorph in this dataset ... 0.1843 eV/atom
Energy relative to the elements ... -0.38 eV/atom
Size of the total moment ... 0.000 μB per formula unit

=====

No. 7
DFT (PBE-GGA) results for Cd2InHg8 after structural relaxation.

Cell: 4.7643 4.7643 12.9680 Å, 90.00 90.00 90.00°
With the nearest neighbours (Å) after each atom.
Sites, in units of the cell vectors:
Cd1 0.0000 0.0000 0.3320  12 Hg 3.23-3.37
Cd2 0.0000 0.0000 0.6680  12 Hg 3.23-3.37
In1 0.0000 0.0000 0.0000  8 Hg 3.10
Hg1 0.0000 0.5000 0.5000  4 Cd 3.23, 8 Hg 3.29-3.37
Hg2 0.5000 0.0000 0.5000  4 Cd 3.23, 8 Hg 3.29-3.37
Hg3 0.5000 0.5000 0.3245  8 Hg 3.25-3.29, 4 Cd 3.37
Hg4 0.5000 0.5000 0.6755  8 Hg 3.25-3.29, 4 Cd 3.37
Hg5 0.0000 0.5000 0.1535  2 In 3.10, 6 Hg 3.25-3.37, 2 Cd 3.32
Hg6 0.5000 0.0000 0.1535  2 In 3.10, 6 Hg 3.25-3.37, 2 Cd 3.32
Hg7 0.0000 0.5000 0.8465  2 In 3.10, 6 Hg 3.25-3.37, 2 Cd 3.32
Hg8 0.5000 0.0000 0.8465  2 In 3.10, 6 Hg 3.25-3.37, 2 Cd 3.32

DOS(E_F) ... 3.063 states/eV per cell
Raw total energy ... -0.0223 Ha/atom
Energy above the most stable polymorph in this dataset ... 0.0000 eV/atom
Energy relative to the elements ... 0.03 eV/atom
Size of the total moment ... 0.000 μB per formula unit

=====

No. 8
DFT (PBE-GGA) results for YPuCuPd after structural relaxation.

Cell: 4.9706 4.9706 4.9706 Å, 60.00 60.00 60.00°
With the nearest neighbours (Å) after each atom.
Sites, in units of the cell vectors:
Y1 0.0000 0.0000 0.0000  4 Cu 3.04, 4 Pd 3.04
Cu1 0.2500 0.2500 0.2500  4 Pu 3.04, 4 Y 3.04
Pd1 0.7500 0.7500 0.7500  4 Y 3.04, 4 Pu 3.04
Pu1 0.5000 0.5000 0.5000  4 Pd 3.04, 4 Cu 3.04

DOS(E_F) ... 11.825 states/eV per cell
Raw total energy ... -0.2875 Ha/atom
Energy relative to the elements ... -0.30 eV/atom
Size of the total moment ... 5.680 μB per formula unit

=====

No. 9
DFT (PBE-GGA) results for Ca3TaRu after structural relaxation.

Cell: 5.2630 5.2630 5.2630 Å, 90.00 90.00 90.00°
With the nearest neighbours (Å) after each atom.
Sites, in units of the cell vectors:
Ru1 0.0000 0.0000 0.0000  6 Ca 2.63
Ca1 0.0000 0.5000 0.0000  2 Ru 2.63
Ca2 0.0000 0.0000 0.5000  2 Ru 2.63
Ca3 0.5000 0.0000 0.0000  2 Ru 2.63
Ta1 0.5000 0.5000 0.5000  12 Ca 3.72

DOS(E_F) ... 9.955 states/eV per cell
Raw total energy ... -0.1578 Ha/atom
Energy above the most stable polymorph in this dataset ... 0.0000 eV/atom
Energy relative to the elements ... 1.13 eV/atom
Size of the total moment ... 0.000 μB per formula unit

=====

No. 10
DFT (PBE-GGA) results for Mn2TlIr after structural relaxation.

Cell: 8.9385 8.9385 8.9385 Å, 19.35 19.35 19.35°
With the nearest neighbours (Å) after each atom.
Sites, in units of the cell vectors:
Ir1 0.7500 0.7500 0.7500  6 Mn 2.63
Mn1 0.0084 0.0084 0.0084  3 Ir 2.63
Mn2 0.4916 0.4916 0.4916  3 Ir 2.63
Tl1 0.2500 0.2500 0.2500  6 Mn 2.97, 6 Tl 3.01

DOS(E_F) ... 3.222 states/eV per cell
Raw total energy ... -0.2570 Ha/atom
Energy above the most stable polymorph in this dataset ... 0.1698 eV/atom
Energy relative to the elements ... 0.40 eV/atom
Size of the total moment ... 7.538 μB per formula unit

=====

No. 11
DFT (PBE-GGA) results for BeOs after structural relaxation.

Cell: 4.5531 4.5531 5.6415 Å, 77.47 77.47 36.78°
With the nearest neighbours (Å) after each atom.
Sites, in units of the cell vectors:
Be1 0.9741 0.9741 0.0372  2 Be 2.37, 6 Os 2.37-2.52
Be2 0.6832 0.6832 0.6555  7 Os 2.29-2.55, 1 Be 2.48
Be3 0.6103 0.6103 0.2549  3 Be 2.37-2.48, 7 Os 2.45-2.52
Os1 0.3185 0.3185 0.3527  7 Be 2.33-2.46, 1 Os 2.59
Os2 0.9839 0.9839 0.6137  6 Be 2.30-2.55
Os3 0.2633 0.2633 0.9195  7 Be 2.29-2.52

DOS(E_F) ... 2.380 states/eV per cell
Raw total energy ... -0.2773 Ha/atom
Energy relative to the elements ... -0.07 eV/atom
Size of the total moment ... 0.000 μB per formula unit

=====

No. 12
DFT (PBE-GGA) results for HfTaRe2W after structural relaxation.

Cell: 4.6840 4.8539 4.6840 Å, 90.00 90.00 90.00°
With the nearest neighbours (Å) after each atom.
Sites, in units of the cell vectors:
Re1 0.0000 0.0000 0.5000  2 Ta 2.34
Re2 0.5000 0.0000 0.0000  2 Ta 2.34
Hf1 0.0000 0.5000 0.0000  2 Ta 2.43
W1 0.5000 0.5000 0.5000  4 Hf 3.31, 8 Re 3.37
Ta1 0.0000 0.0000 0.0000  4 Re 2.34, 2 Hf 2.43

DOS(E_F) ... 8.665 states/eV per cell
Raw total energy ... -0.3573 Ha/atom
Energy relative to the elements ... 2.21 eV/atom
Size of the total moment ... 0.001 μB per formula unit

=====

Q: DOS(E_F) of number 11 (BeOs)?
A: 2.380 states/eV per cell

=====

Q: Which of these has the lowest DOS(E_F)?
A: TbBiF6

=====

Q: What is the formula in the eighth record?
A: YPuCuPd